Density functional theory data (PBE) for Sr2Ag2BiSb after structural relaxation.

Values from the calculation:
- Final energy: -3.5473 eV per atom

a b c (Å): 4.8584 4.8584 8.5514
angles (deg): 90.00 90.00 120.00
Space group P3m1 (No. 156)
Inequivalent atoms, fractional coordinates:
1 Sr 0.0000 0.0000 0.0000
2 Sr 0.0000 0.0000 0.4933
3 Ag 0.3333 0.6667 0.7600
4 Ag 0.6667 0.3333 0.2586
5 Bi 0.6667 0.3333 0.7368
6 Sb 0.3333 0.6667 0.2383